Entry 1:
The following is a DFT calculation (PBE) of a relaxed structure of TbGaI4.

Values from the calculation:
ΔE_f (raw) = -1.044 eV/atom

a = 8.7916 Å, b = 8.7916 Å, c = 8.1769 Å
α = 115.57°, β = 115.57°, γ = 29.54°
With the nearest neighbours (Å) after each atom.
Fractional coordinates of all 6 atoms:
Tb (0.0000, 0.0000, 0.0000)  6 I 3.00-3.10
Ga (0.5000, 0.5000, 0.5000)  6 I 3.27-3.34
I (0.1136, 0.1136, 0.8058)  1 Tb 3.00, 2 Ga 3.27
I (0.3850, 0.3850, 0.7412)  2 Tb 3.10, 1 Ga 3.34
I (0.6150, 0.6150, 0.2588)  2 Tb 3.10, 1 Ga 3.34
I (0.8864, 0.8864, 0.1942)  1 Tb 3.00, 2 Ga 3.27



Entry 2:
The following is a DFT calculation (PBE) of a relaxed structure of Tb4Ga2I5.

Values from the calculation:
ΔE_f (raw) = -0.921 eV/atom

a = 12.1015 Å, b = 12.1015 Å, c = 8.4873 Å
α = 91.80°, β = 91.80°, γ = 19.98°
With the nearest neighbours (Å) after each atom.
Fractional coordinates of all 11 atoms:
Tb (0.0192, 0.0192, 0.2948)  4 Ga 2.99-3.08, 3 I 3.20-3.29
Tb (0.3387, 0.3387, 0.5582)  1 Ga 2.77, 2 I 3.09
Tb (0.6613, 0.6613, 0.4418)  1 Ga 2.77, 2 I 3.09
Tb (0.9808, 0.9808, 0.7052)  4 Ga 2.99-3.08, 3 I 3.20-3.29
Ga (0.4495, 0.4495, 0.4677)  1 Ga 2.45
Ga (0.5505, 0.5505, 0.5323)  1 Ga 2.45
I (0.1455, 0.1455, 0.1766)  3 Tb 3.09-3.20
I (0.2085, 0.2085, 0.6813)  3 Tb 3.11-3.31
I (0.5000, 0.5000, 0.0000)  4 Tb 3.29
I (0.7915, 0.7915, 0.3187)  3 Tb 3.11-3.31
I (0.8545, 0.8545, 0.8234)  3 Tb 3.09-3.20



Entry 3:
The following is a DFT calculation (PBE) of a relaxed structure of TbGaI.

Values from the calculation:
ΔE_f (raw) = -0.485 eV/atom
Polymorph energy (0 for the lowest one) = 558 meV/atom

a = 7.1584 Å, b = 7.1584 Å, c = 6.9024 Å
α = 105.16°, β = 105.16°, γ = 30.33°
With the nearest neighbours (Å) after each atom.
Fractional coordinates of all 6 atoms:
Tb (0.1425, 0.1425, 0.0215)  3 Ga 3.18-3.21, 4 I 3.22-3.23
Tb (0.8575, 0.8575, 0.9785)  3 Ga 3.18-3.21, 4 I 3.22-3.23
Ga (0.2272, 0.2272, 0.6322)  2 Ga 2.80
Ga (0.7728, 0.7728, 0.3678)  2 Ga 2.80
I (0.4739, 0.4739, 0.7336)  4 Tb 3.22-3.23, 1 Ga 3.29, 2 I 3.49-3.55
I (0.5261, 0.5261, 0.2664)  4 Tb 3.22-3.23, 1 Ga 3.29, 2 I 3.49-3.55



Entry 4:
The following is a DFT calculation (PBE) of a relaxed structure of TbGa2I6.

Values from the calculation:
ΔE_f (raw) = -0.718 eV/atom

a = 10.4232 Å, b = 10.4232 Å, c = 9.0805 Å
α = 104.87°, β = 104.87°, γ = 90.91°
With the nearest neighbours (Å) after each atom.
Fractional coordinates of all 18 atoms:
Tb (0.0705, 0.9295, 0.7500)  6 I 2.94-3.19
Tb (0.9295, 0.0705, 0.2500)  6 I 2.94-3.19
Ga (0.2206, 0.4266, 0.7499)  4 I 2.79-3.12
Ga (0.4266, 0.2206, 0.2499)  4 I 2.79-3.12
Ga (0.5734, 0.7794, 0.7501)  4 I 2.79-3.12
Ga (0.7794, 0.5734, 0.2501)  4 I 2.79-3.12
I (0.0047, 0.1848, 0.6251)  1 Ga 3.12, 2 Tb 3.17-3.19
I (0.0279, 0.6485, 0.7458)  1 Tb 2.94, 1 Ga 3.09
I (0.1848, 0.0047, 0.1251)  1 Ga 3.12, 2 Tb 3.17-3.19
I (0.3340, 0.3787, 0.0427)  2 Ga 2.79-2.81
I (0.3515, 0.9721, 0.7542)  1 Tb 2.94, 1 Ga 3.09
I (0.3787, 0.3340, 0.5427)  2 Ga 2.79-2.81
I (0.6213, 0.6660, 0.4573)  2 Ga 2.79-2.81
I (0.6485, 0.0279, 0.2458)  1 Tb 2.94, 1 Ga 3.09
I (0.6660, 0.6213, 0.9573)  2 Ga 2.79-2.81
I (0.8152, 0.9953, 0.8749)  1 Ga 3.12, 2 Tb 3.17-3.19
I (0.9721, 0.3515, 0.2542)  1 Tb 2.94, 1 Ga 3.09
I (0.9953, 0.8152, 0.3749)  1 Ga 3.12, 2 Tb 3.17-3.19



Entry 5:
The following is a DFT calculation (PBE) of a relaxed structure of Tb2GaI2.

Values from the calculation:
ΔE_f (raw) = -1.014 eV/atom

a = 12.1414 Å, b = 12.1414 Å, c = 12.1414 Å
α = 19.45°, β = 19.45°, γ = 19.45°
With the nearest neighbours (Å) after each atom.
Fractional coordinates of all 5 atoms:
Tb (0.1166, 0.1166, 0.1166)  3 Ga 2.97, 3 I 3.13
Tb (0.8834, 0.8834, 0.8834)  3 Ga 2.97, 3 I 3.13
Ga (0.5000, 0.5000, 0.5000)  6 Tb 2.97
I (0.2738, 0.2738, 0.2738)  3 Tb 3.13
I (0.7262, 0.7262, 0.7262)  3 Tb 3.13



Entry 6:
The following is a DFT calculation (PBE) of a relaxed structure of TbGaI.

Values from the calculation:
ΔE_f (raw) = -1.043 eV/atom
Polymorph energy (0 for the lowest one) = 0 meV/atom

a = 4.2142 Å, b = 4.2142 Å, c = 12.4238 Å
α = 99.86°, β = 99.86°, γ = 60.00°
With the nearest neighbours (Å) after each atom.
Fractional coordinates of all 6 atoms:
Tb (0.0559, 0.0559, 0.1661)  3 Ga 2.96, 3 I 3.15
Tb (0.9441, 0.9441, 0.8339)  3 Ga 2.96, 3 I 3.15
Ga (0.3424, 0.3424, 0.0270)  3 Ga 2.52
Ga (0.6576, 0.6576, 0.9730)  3 Ga 2.52
I (0.2222, 0.2222, 0.6696)  3 Tb 3.15
I (0.7778, 0.7778, 0.3304)  3 Tb 3.15



Entry 7:
The following is a DFT calculation (PBE) of a relaxed structure of TbGaI.

Values from the calculation:
ΔE_f (raw) = -1.043 eV/atom
Polymorph energy (0 for the lowest one) = 0 meV/atom

a = 4.2140 Å, b = 4.2140 Å, c = 12.1975 Å
α = 90.00°, β = 90.00°, γ = 120.00°
With the nearest neighbours (Å) after each atom.
Fractional coordinates of all 6 atoms:
Tb (0.0000, 0.0000, 0.1658)  3 Ga 2.96, 3 I 3.15
Tb (0.0000, 0.0000, 0.8342)  3 Ga 2.96, 3 I 3.15
Ga (0.3333, 0.6667, 0.0269)  3 Ga 2.52
Ga (0.6667, 0.3333, 0.9731)  3 Ga 2.52
I (0.3333, 0.6667, 0.6701)  3 Tb 3.15
I (0.6667, 0.3333, 0.3299)  3 Tb 3.15



Entry 8:
The following is a DFT calculation (PBE) of a relaxed structure of TbGa3I6.

Values from the calculation:
ΔE_f (raw) = -0.744 eV/atom

a = 7.8478 Å, b = 8.6802 Å, c = 14.1901 Å
α = 90.00°, β = 123.38°, γ = 90.00°
With the nearest neighbours (Å) after each atom.
Fractional coordinates of all 20 atoms:
Tb (0.0000, 0.0000, 0.0000)  6 I 3.04-3.06
Tb (0.0000, 0.5000, 0.5000)  6 I 3.04-3.06
Ga (0.1808, 0.1406, 0.7524)  4 I 3.20-3.56
Ga (0.1808, 0.3594, 0.2524)  4 I 3.20-3.56
Ga (0.5000, 0.0000, 0.5000)  6 I 3.25-3.33
Ga (0.5000, 0.5000, 0.0000)  6 I 3.25-3.33
Ga (0.8192, 0.6406, 0.7476)  4 I 3.20-3.56
Ga (0.8192, 0.8594, 0.2476)  4 I 3.20-3.56
I (0.0925, 0.1977, 0.4262)  1 Tb 3.06, 2 Ga 3.23-3.25
I (0.0925, 0.3023, 0.9262)  1 Tb 3.06, 2 Ga 3.23-3.25
I (0.2424, 0.6767, 0.4270)  1 Tb 3.04, 2 Ga 3.27-3.28
I (0.2424, 0.8233, 0.9270)  1 Tb 3.04, 2 Ga 3.27-3.28
I (0.3820, 0.0471, 0.2374)  1 Tb 3.06, 2 Ga 3.20-3.33
I (0.3820, 0.4529, 0.7374)  1 Tb 3.06, 2 Ga 3.20-3.33
I (0.6180, 0.5471, 0.2626)  1 Tb 3.06, 2 Ga 3.20-3.33
I (0.6180, 0.9529, 0.7626)  1 Tb 3.06, 2 Ga 3.20-3.33
I (0.7576, 0.1767, 0.0730)  1 Tb 3.04, 2 Ga 3.27-3.28
I (0.7576, 0.3233, 0.5730)  1 Tb 3.04, 2 Ga 3.27-3.28
I (0.9075, 0.6977, 0.0738)  1 Tb 3.06, 2 Ga 3.23-3.25
I (0.9075, 0.8023, 0.5738)  1 Tb 3.06, 2 Ga 3.23-3.25



Entry 9:
The following is a DFT calculation (PBE) of a relaxed structure of TbGa2I8.

Values from the calculation:
ΔE_f (raw) = -0.733 eV/atom

a = 8.9874 Å, b = 8.9874 Å, c = 7.2414 Å
α = 98.11°, β = 98.11°, γ = 79.56°
With the nearest neighbours (Å) after each atom.
Fractional coordinates of all 11 atoms:
Tb (0.0000, 0.0000, 0.0000)  6 I 3.05-3.09
Ga (0.2019, 0.2019, 0.6709)  4 I 2.59-2.74
Ga (0.7981, 0.7981, 0.3291)  4 I 2.59-2.74
I (0.0836, 0.7248, 0.2185)  1 Ga 2.73, 1 Tb 3.05
I (0.1947, 0.1947, 0.2898)  1 Ga 2.74
I (0.2752, 0.9164, 0.7815)  1 Ga 2.73, 1 Tb 3.05
I (0.3840, 0.3840, 0.8387)  1 Ga 2.59
I (0.6160, 0.6160, 0.1613)  1 Ga 2.59
I (0.7248, 0.0836, 0.2185)  1 Ga 2.73, 1 Tb 3.05
I (0.8053, 0.8053, 0.7102)  1 Ga 2.74
I (0.9164, 0.2752, 0.7815)  1 Ga 2.73, 1 Tb 3.05



Entry 10:
The following is a DFT calculation (PBE) of a relaxed structure of Tb4GaI5.

Values from the calculation:
ΔE_f (raw) = -1.100 eV/atom

a = 9.8412 Å, b = 9.8412 Å, c = 8.8317 Å
α = 102.11°, β = 102.11°, γ = 24.88°
With the nearest neighbours (Å) after each atom.
Fractional coordinates of all 10 atoms:
Tb (0.9999, 0.9999, 0.2147)  2 Ga 2.84, 1 I 3.16
Tb (0.0001, 0.0001, 0.7853)  2 Ga 2.84, 1 I 3.16
Tb (0.3526, 0.3526, 0.9256)  1 Ga 2.77
Tb (0.6474, 0.6474, 0.0744)  1 Ga 2.77
Ga (0.5000, 0.5000, 0.0000)  6 Tb 2.77-2.84
I (0.1667, 0.1667, 0.3372)  3 Tb 3.11-3.16
I (0.1729, 0.1729, 0.8288)  4 Tb 3.15-3.38
I (0.5000, 0.5000, 0.5000)  4 Tb 3.29
I (0.8271, 0.8271, 0.1712)  4 Tb 3.15-3.38
I (0.8333, 0.8333, 0.6628)  3 Tb 3.11-3.16



Entry 11:
The following is a DFT calculation (PBE) of a relaxed structure of Tb2GaI.

Values from the calculation:
ΔE_f (raw) = -0.664 eV/atom
Polymorph energy (0 for the lowest one) = 40 meV/atom

a = 8.0396 Å, b = 8.0396 Å, c = 8.0396 Å
α = 30.47°, β = 30.47°, γ = 30.47°
With the nearest neighbours (Å) after each atom.
Fractional coordinates of all 4 atoms:
Tb (0.0000, 0.0000, 0.0000)  3 Ga 2.86
Tb (0.2005, 0.2005, 0.2005)  3 Ga 2.90
Ga (0.6018, 0.6018, 0.6018)  6 Tb 2.86-2.90
I (0.4319, 0.4319, 0.4319)  6 Tb 3.33-3.38



Entry 12:
The following is a DFT calculation (PBE) of a relaxed structure of TbTlGa2I6.

Values from the calculation:
ΔE_f (raw) = -0.822 eV/atom

a = 8.8860 Å, b = 8.8860 Å, c = 8.8860 Å
α = 55.28°, β = 55.28°, γ = 55.28°
With the nearest neighbours (Å) after each atom.
Fractional coordinates of all 10 atoms:
Tb (0.0000, 0.0000, 0.0000)  6 I 3.04-3.09
Tl (0.4914, 0.4914, 0.4914)  6 I 3.48-3.61
Ga (0.1852, 0.1852, 0.1852)  6 I 3.28-3.39
Ga (0.6778, 0.6778, 0.6778)  6 I 3.27-3.33
I (0.0619, 0.8071, 0.3891)  1 Tb 3.09, 2 Ga 3.27-3.28
I (0.2464, 0.6235, 0.9143)  1 Tb 3.04, 2 Ga 3.33-3.39
I (0.3891, 0.0619, 0.8071)  1 Tb 3.09, 2 Ga 3.27-3.28
I (0.6235, 0.9143, 0.2464)  1 Tb 3.04, 2 Ga 3.33-3.39
I (0.8071, 0.3891, 0.0619)  1 Tb 3.09, 2 Ga 3.27-3.28
I (0.9143, 0.2464, 0.6235)  1 Tb 3.04, 2 Ga 3.33-3.39



Entry 13:
The following is a DFT calculation (PBE) of a relaxed structure of Ga2TcI.

Values from the calculation:
ΔE_f (raw) = 0.648 eV/atom
Polymorph energy (0 for the lowest one) = 0 meV/atom

a = 7.5736 Å, b = 7.5736 Å, c = 7.5736 Å
α = 130.41°, β = 130.41°, γ = 72.75°
With the nearest neighbours (Å) after each atom.
Fractional coordinates of all 8 atoms:
Ga (0.0382, 0.6250, 0.9132)  2 Tc 2.43
Ga (0.3750, 0.2882, 0.4132)  2 Tc 2.43
Ga (0.7118, 0.1250, 0.0868)  2 Tc 2.43
Ga (0.8750, 0.9618, 0.5868)  2 Tc 2.43
Tc (0.0000, 0.0000, 0.0000)  4 Ga 2.43
Tc (0.7500, 0.2500, 0.5000)  4 Ga 2.43
I (0.2500, 0.7500, 0.5000)  4 Ga 3.07
I (0.5000, 0.5000, 0.0000)  4 Ga 3.07



Entry 14:
The following is a DFT calculation (PBE) of a relaxed structure of Ga3TcI.

Values from the calculation:
ΔE_f (raw) = 0.201 eV/atom
Polymorph energy (0 for the lowest one) = 0 meV/atom

a = 4.9976 Å, b = 4.9976 Å, c = 4.9976 Å
α = 90.00°, β = 90.00°, γ = 90.00°
With the nearest neighbours (Å) after each atom.
Fractional coordinates of all 5 atoms:
Ga (0.0000, 0.0000, 0.5000)  2 Tc 2.50
Ga (0.0000, 0.5000, 0.0000)  2 Tc 2.50
Ga (0.5000, 0.0000, 0.0000)  2 Tc 2.50
Tc (0.0000, 0.0000, 0.0000)  6 Ga 2.50
I (0.5000, 0.5000, 0.5000)  12 Ga 3.53



Entry 15:
The following is a DFT calculation (PBE) of a relaxed structure of GaTc2I.

Values from the calculation:
ΔE_f (raw) = 1.234 eV/atom
Polymorph energy (0 for the lowest one) = 647 meV/atom

a = 6.9588 Å, b = 6.9588 Å, c = 6.9588 Å
α = 130.16°, β = 130.16°, γ = 73.16°
With the nearest neighbours (Å) after each atom.
Fractional coordinates of all 8 atoms:
Ga (0.0000, 0.0000, 0.0000)  4 Tc 2.45
Ga (0.7500, 0.2500, 0.5000)  4 Tc 2.45
Tc (0.1110, 0.6250, 0.9860)  2 Ga 2.45, 2 I 2.55
Tc (0.3750, 0.3610, 0.4860)  2 Ga 2.45, 2 I 2.55
Tc (0.6390, 0.1250, 0.0140)  2 Ga 2.45, 2 I 2.55
Tc (0.8750, 0.8890, 0.5140)  2 Ga 2.45, 2 I 2.55
I (0.2500, 0.7500, 0.5000)  4 Tc 2.55
I (0.5000, 0.5000, 0.0000)  4 Tc 2.55



Entry 16:
The following is a DFT calculation (PBE) of a relaxed structure of Ga2TcI.

Values from the calculation:
ΔE_f (raw) = 0.932 eV/atom
Polymorph energy (0 for the lowest one) = 284 meV/atom

a = 4.7591 Å, b = 4.7591 Å, c = 4.7591 Å
α = 60.00°, β = 60.00°, γ = 60.00°
With the nearest neighbours (Å) after each atom.
Fractional coordinates of all 4 atoms:
Ga (0.2500, 0.2500, 0.2500)  4 I 2.91, 4 Tc 2.91
Ga (0.7500, 0.7500, 0.7500)  4 I 2.91, 4 Tc 2.91
Tc (0.0000, 0.0000, 0.0000)  8 Ga 2.91
I (0.5000, 0.5000, 0.5000)  8 Ga 2.91



Entry 17:
The following is a DFT calculation (PBE) of a relaxed structure of GaTcI.

Values from the calculation:
ΔE_f (raw) = 0.240 eV/atom

a = 7.0986 Å, b = 7.0986 Å, c = 6.9620 Å
α = 90.00°, β = 90.00°, γ = 121.06°
With the nearest neighbours (Å) after each atom.
Fractional coordinates of all 12 atoms:
Ga (0.1818, 0.3182, 0.2500)  2 Tc 2.46
Ga (0.3182, 0.1818, 0.7500)  2 Tc 2.46
Ga (0.6818, 0.8182, 0.2500)  2 Tc 2.46
Ga (0.8182, 0.6818, 0.7500)  2 Tc 2.46
Tc (0.0926, 0.9074, 0.9956)  1 Tc 2.29, 2 Ga 2.46
Tc (0.4074, 0.5926, 0.4956)  1 Tc 2.29, 2 Ga 2.46
Tc (0.5926, 0.4074, 0.5044)  1 Tc 2.29, 2 Ga 2.46
Tc (0.9074, 0.0926, 0.0044)  1 Tc 2.29, 2 Ga 2.46
I (0.1860, 0.8140, 0.3654)  2 Tc 2.82-2.88
I (0.3140, 0.6860, 0.8654)  2 Tc 2.82-2.88
I (0.6860, 0.3140, 0.1346)  2 Tc 2.82-2.88
I (0.8140, 0.1860, 0.6346)  2 Tc 2.82-2.88



Entry 18:
The following is a DFT calculation (PBE) of a relaxed structure of GaTc2I.

Values from the calculation:
ΔE_f (raw) = 0.587 eV/atom
Polymorph energy (0 for the lowest one) = 0 meV/atom

a = 4.5043 Å, b = 4.5043 Å, c = 4.5043 Å
α = 60.00°, β = 60.00°, γ = 60.00°
With the nearest neighbours (Å) after each atom.
Fractional coordinates of all 4 atoms:
Ga (0.0000, 0.0000, 0.0000)  8 Tc 2.76
Tc (0.2500, 0.2500, 0.2500)  4 I 2.76, 4 Ga 2.76
Tc (0.7500, 0.7500, 0.7500)  4 I 2.76, 4 Ga 2.76
I (0.5000, 0.5000, 0.5000)  8 Tc 2.76



Entry 19:
The following is a DFT calculation (PBE) of a relaxed structure of GaTcTeI2.

Values from the calculation:
ΔE_f (raw) = 0.881 eV/atom
Polymorph energy (0 for the lowest one) = 577 meV/atom

a = 5.5098 Å, b = 5.5098 Å, c = 5.5898 Å
α = 90.00°, β = 90.00°, γ = 90.00°
With the nearest neighbours (Å) after each atom.
Fractional coordinates of all 5 atoms:
Ga (0.0000, 0.0000, 0.0000)  4 I 2.75, 2 Te 2.79
Tc (0.5000, 0.5000, 0.5000)  4 Te 3.90, 8 I 3.92
Te (0.0000, 0.0000, 0.5000)  2 Ga 2.79
I (0.0000, 0.5000, 0.0000)  2 Ga 2.75
I (0.5000, 0.0000, 0.0000)  2 Ga 2.75



Entry 20:
The following is a DFT calculation (PBE) of a relaxed structure of GaTcTeI2.

Values from the calculation:
ΔE_f (raw) = 0.305 eV/atom
Polymorph energy (0 for the lowest one) = 0 meV/atom

a = 5.7333 Å, b = 5.7333 Å, c = 5.0597 Å
α = 90.00°, β = 90.00°, γ = 90.00°
With the nearest neighbours (Å) after each atom.
Fractional coordinates of all 5 atoms:
Ga (0.0000, 0.0000, 0.0000)  8 I 3.82, 4 Te 4.05
Tc (0.5000, 0.5000, 0.5000)  2 Te 2.53
Te (0.5000, 0.5000, 0.0000)  2 Tc 2.53
I (0.0000, 0.5000, 0.5000)  2 Tc 2.87
I (0.5000, 0.0000, 0.5000)  2 Tc 2.87